# 1
Ho3ErSc2Sb2Os | PBE-GGA | relaxed

POSCAR file:
```
Ho3ErSc2Sb2Os
1.0
4.0817 0.0000 0.0000
0.0000 6.9985 4.0007
0.0000 -6.9985 4.0007
Er Ho Os Sb Sc
1 3 1 2 2
Direct
0.0000 0.3927 0.3927
0.5000 0.9974 0.2404
0.5000 0.7569 0.7569
0.5000 0.2404 0.9974
0.0000 0.9989 0.9989
0.5000 0.6714 0.3319
0.5000 0.3319 0.6714
0.0000 0.6103 0.0000
0.0000 0.0000 0.6103
```

# 2
CsNd2Cu3Te4S | PBE-GGA | relaxed

POSCAR file:
```
CsNd2Cu3Te4S
1.0
2.1800 -7.8137 0.0000
2.1800 7.8137 0.0000
0.0000 0.0000 18.3746
Cs Cu Nd S Te
2 6 4 2 8
Direct
0.4267 0.5733 0.2500
0.5733 0.4267 0.7500
0.9168 0.0832 0.0196
0.1688 0.8312 0.2500
0.9168 0.0832 0.4804
0.0832 0.9168 0.5196
0.8312 0.1688 0.7500
0.0832 0.9168 0.9804
0.6961 0.3039 0.0999
0.6961 0.3039 0.4001
0.3039 0.6961 0.5999
0.3039 0.6961 0.9001
0.7311 0.2689 0.2500
0.2689 0.7311 0.7500
0.3415 0.6585 0.0693
0.0527 0.9473 0.1216
0.0527 0.9473 0.3784
0.3415 0.6585 0.4307
0.6585 0.3415 0.5693
0.9473 0.0527 0.6216
0.9473 0.0527 0.8784
0.6585 0.3415 0.9307
```

# 3
Ta24Al5 | PBE-GGA | relaxed

POSCAR file:
```
Ta24Al5
1.0
8.6853 1.6475 -0.9973
-4.1661 7.4563 2.4880
-1.1366 -6.2510 6.2270
Al Ta
5 24
Direct
0.0000 0.0000 0.0000
0.6306 0.0000 0.0000
0.0000 0.6306 0.0000
0.3694 0.3694 0.3694
0.0000 0.0000 0.6306
0.3702 0.1881 0.0000
0.1881 0.3702 0.0000
0.6791 0.3929 0.0000
0.3929 0.6791 0.0000
0.8119 0.8119 0.1821
0.3702 0.0000 0.1881
0.0000 0.3702 0.1881
0.6071 0.6071 0.2863
0.7137 0.3209 0.3209
0.3209 0.7137 0.3209
0.1881 0.0000 0.3702
0.0000 0.1881 0.3702
0.6791 0.0000 0.3929
0.0000 0.6791 0.3929
0.6071 0.2863 0.6071
0.2863 0.6071 0.6071
0.6298 0.8179 0.6298
0.8179 0.6298 0.6298
0.3929 0.0000 0.6791
0.0000 0.3929 0.6791
0.3209 0.3209 0.7137
0.8119 0.1821 0.8119
0.1821 0.8119 0.8119
0.6298 0.6298 0.8179
```

# 4
ZnGaB4 | PBE-GGA | relaxed

POSCAR file:
```
ZnGaB4
1.0
-0.1414 1.7447 -2.5167
-0.0120 -3.0553 -0.2503
-6.8081 -0.0043 0.3794
B Ga Zn
4 1 1
Direct
0.6667 0.3333 0.2503
0.3333 0.6667 0.2503
0.6667 0.3333 0.7497
0.3333 0.6667 0.7497
0.0000 0.0000 0.5000
0.0000 0.0000 0.0000
```

In eV per atom, the total energy values for the records above are, in order, -6.20, -4.39, -10.19, -4.84.